This record from Alexandria via LeMat-Bulk describes crystalline Pm2SmYEr at its relaxed geometry. The functional is PBE-GGA. Values from VASP.

```
&SYSTEM
  ibrav = 0, nat = 10, ntyp = 4
/
ATOMIC_SPECIES
Pm 145.00 Pm.upf
Sm 150.36 Sm.upf
Y 88.91 Y.upf
Er 167.26 Er.upf
CELL_PARAMETERS angstrom
7.2695 0.0000 0.0000
0.0000 8.3321 0.0000
0.0000 -4.1661 5.8135
ATOMIC_POSITIONS angstrom
Pm 3.6348 2.5644 0.0000
Pm 0.0000 5.7678 0.0000
Pm 3.6348 5.7678 0.0000
Pm 0.0000 2.5644 0.0000
Sm 1.8174 4.1661 5.4698
Sm 5.4521 0.0000 0.3437
Y 5.4521 4.1661 2.8029
Y 1.8174 0.0000 3.0106
Er 1.8174 4.1661 2.4329
Er 5.4521 0.0000 3.3806
```

Summary:
Magnetization: 0.0 μB/f.u.
VASP energy: -4.632 eV/atom